1.
K3Tb3SiO8 | PBE | relaxed

## Properties
Density of states at the Fermi level ... 0.00 states/eV/cell
V ... 727.8 Å³/cell
M_tot ... 0.0000 μB/atom
Formation energy from raw total energies ... -2621 meV/atom

a = 6.6737 Å, b = 6.6737 Å, c = 18.8697 Å
α = 90.00°, β = 90.00°, γ = 120.00°
Space group R-3m (No. 166, hexagonal axes)
Symmetry-distinct sites (fractional):
K  0.0000  0.5000  0.0000 x9
Tb  0.0000  0.5000  0.5000 x9
Si  0.0000  0.0000  0.5000 x3
O  0.0000  0.0000  0.2285 x6
O  0.0547  0.5274  0.2211 x18

2.
ScIn2Ag2 | PBE | relaxed

## Properties
Density of states at the Fermi level ... 6.45 states/eV/cell
DFT formation energy ... -0.074 eV/atom
ΔE to the lowest computed polymorph ... 72 meV/atom
V ... 216.3 Å³/cell
M_tot ... 0.0001 μB/atom

a = 7.967 Å, b = 7.967 Å, c = 3.408 Å
α = 90.00°, β = 90.00°, γ = 90.00°
Space group P4/mbm (No. 127)
Symmetry-distinct sites (fractional):
Sc  0.000  0.000  0.000 x2
In  0.178  0.322  0.500 x4
Ag  0.124  0.624  0.000 x4